w | DFT (PBE) results for crystalline NaCoRh2 at its relaxed geometry.

```
data_NaCoRh2
_space_group_name_H-M_alt 'I -4 2 d'
_space_group_IT_number 122
_space_group_name_Hall 'I -4 2bw'
_cell_length_a 7.117
_cell_length_b 7.117
_cell_length_c 5.255
_cell_angle_alpha 90.00
_cell_angle_beta 90.00
_cell_angle_gamma 90.00
loop_
_atom_site_label
_atom_site_type_symbol
_atom_site_fract_x
_atom_site_fract_y
_atom_site_fract_z
Na1 Na 0.000 0.000 0.000
Co1 Co 0.000 0.000 0.500
Rh1 Rh 0.197 0.250 0.625
```

Output
theoretical density: 7.18 g cm⁻³


x | DFT (PBE) results for crystalline NaCoRh2 at its relaxed geometry.

```
data_NaCoRh2
_space_group_name_H-M_alt 'F m -3 m'
_space_group_IT_number 225
_space_group_name_Hall '-F 4 2 3'
_cell_length_a 6.125
_cell_length_b 6.125
_cell_length_c 6.125
_cell_angle_alpha 90.00
_cell_angle_beta 90.00
_cell_angle_gamma 90.00
loop_
_atom_site_label
_atom_site_type_symbol
_atom_site_fract_x
_atom_site_fract_y
_atom_site_fract_z
Na1 Na 0.000 0.000 0.000
Co1 Co 0.000 0.000 0.500
Rh1 Rh 0.250 0.250 0.250
```

Output
theoretical density: 8.32 g cm⁻³


x is preferred energetically. Next in line: 0.164 eV/atom higher.


w | DFT (PBE) results for crystalline Na2CoRh at its relaxed geometry.

```
data_Na2CoRh
_space_group_name_H-M_alt 'F m -3 m'
_space_group_IT_number 225
_space_group_name_Hall '-F 4 2 3'
_cell_length_a 6.553
_cell_length_b 6.553
_cell_length_c 6.553
_cell_angle_alpha 90.00
_cell_angle_beta 90.00
_cell_angle_gamma 90.00
loop_
_atom_site_label
_atom_site_type_symbol
_atom_site_fract_x
_atom_site_fract_y
_atom_site_fract_z
Na1 Na 0.250 0.250 0.250
Co1 Co 0.000 0.000 0.000
Rh1 Rh 0.000 0.000 0.500
```

Output
theoretical density: 4.91 g cm⁻³


x | DFT (PBE) results for crystalline Na2CoRh at its relaxed geometry.

```
data_Na2CoRh
_space_group_name_H-M_alt 'I -4 2 d'
_space_group_IT_number 122
_space_group_name_Hall 'I -4 2bw'
_cell_length_a 7.857
_cell_length_b 7.857
_cell_length_c 4.947
_cell_angle_alpha 90.00
_cell_angle_beta 90.00
_cell_angle_gamma 90.00
loop_
_atom_site_label
_atom_site_type_symbol
_atom_site_fract_x
_atom_site_fract_y
_atom_site_fract_z
Na1 Na 0.247 0.250 0.125
Co1 Co 0.000 0.000 0.000
Rh1 Rh 0.000 0.000 0.500
```

Output
theoretical density: 4.52 g cm⁻³


x is preferred energetically. Next in line: 0.073 eV/atom higher.


w | DFT (PBE) results for crystalline NaCo2Ru at its relaxed geometry.

```
data_NaCo2Ru
_space_group_name_H-M_alt 'F m -3 m'
_space_group_IT_number 225
_space_group_name_Hall '-F 4 2 3'
_cell_length_a 6.036
_cell_length_b 6.036
_cell_length_c 6.036
_cell_angle_alpha 90.00
_cell_angle_beta 90.00
_cell_angle_gamma 90.00
loop_
_atom_site_label
_atom_site_type_symbol
_atom_site_fract_x
_atom_site_fract_y
_atom_site_fract_z
Na1 Na 0.000 0.000 0.000
Co1 Co 0.250 0.250 0.250
Ru1 Ru 0.000 0.000 0.500
```

Output
theoretical density: 7.31 g cm⁻³


x | DFT (PBE) results for crystalline NaCo2Ru at its relaxed geometry.

```
data_NaCo2Ru
_space_group_name_H-M_alt 'I -4 2 d'
_space_group_IT_number 122
_space_group_name_Hall 'I -4 2bw'
_cell_length_a 6.891
_cell_length_b 6.891
_cell_length_c 5.351
_cell_angle_alpha 90.00
_cell_angle_beta 90.00
_cell_angle_gamma 90.00
loop_
_atom_site_label
_atom_site_type_symbol
_atom_site_fract_x
_atom_site_fract_y
_atom_site_fract_z
Na1 Na 0.000 0.000 0.000
Co1 Co 0.208 0.250 0.625
Ru1 Ru 0.000 0.000 0.500
```

Output
theoretical density: 6.32 g cm⁻³


w is preferred energetically. Next in line: 0.279 eV/atom higher.


w | DFT (PBE) results for crystalline NaCo2S2 at its relaxed geometry.

```
data_NaCo2S2
_space_group_name_H-M_alt 'P 4/m b m'
_space_group_IT_number 127
_space_group_name_Hall '-P 4 2ab'
_cell_length_a 6.871
_cell_length_b 6.871
_cell_length_c 2.949
_cell_angle_alpha 90.00
_cell_angle_beta 90.00
_cell_angle_gamma 90.00
loop_
_atom_site_label
_atom_site_type_symbol
_atom_site_fract_x
_atom_site_fract_y
_atom_site_fract_z
Na1 Na 0.000 0.000 0.000
Co1 Co 0.124 0.376 0.000
S1 S 0.170 0.670 0.500
```

Output
theoretical density: 4.89 g cm⁻³


x | DFT (PBE) results for crystalline NaCo2S2 at its relaxed geometry.

```
data_NaCo2S2
_space_group_name_H-M_alt 'C 1 2/c 1'
_space_group_IT_number 15
_space_group_name_Hall '-C 2yc'
_cell_length_a 6.799
_cell_length_b 9.264
_cell_length_c 6.084
_cell_angle_alpha 90.00
_cell_angle_beta 123.78
_cell_angle_gamma 90.00
loop_
_atom_site_label
_atom_site_type_symbol
_atom_site_fract_x
_atom_site_fract_y
_atom_site_fract_z
Na1 Na 0.000 0.125 0.250
Co1 Co 0.125 0.375 0.998
S1 S 0.000 0.180 0.750
S2 S 0.000 0.430 0.250
```

Output
theoretical density: 4.28 g cm⁻³


y | DFT (PBE) results for crystalline NaCo2S2 at its relaxed geometry.

```
data_NaCo2S2
_space_group_name_H-M_alt 'I 4/m m m'
_space_group_IT_number 139
_space_group_name_Hall '-I 4 2'
_cell_length_a 3.704
_cell_length_b 3.704
_cell_length_c 11.611
_cell_angle_alpha 90.00
_cell_angle_beta 90.00
_cell_angle_gamma 90.00
loop_
_atom_site_label
_atom_site_type_symbol
_atom_site_fract_x
_atom_site_fract_y
_atom_site_fract_z
Na1 Na 0.000 0.000 0.000
Co1 Co 0.000 0.500 0.250
S1 S 0.000 0.000 0.354
```

Output
theoretical density: 4.27 g cm⁻³


z | DFT (PBE) results for crystalline NaCo2S2 at its relaxed geometry.

```
data_NaCo2S2
_space_group_name_H-M_alt 'I 4/m m m'
_space_group_IT_number 139
_space_group_name_Hall '-I 4 2'
_cell_length_a 4.251
_cell_length_b 4.251
_cell_length_c 8.185
_cell_angle_alpha 90.00
_cell_angle_beta 90.00
_cell_angle_gamma 90.00
loop_
_atom_site_label
_atom_site_type_symbol
_atom_site_fract_x
_atom_site_fract_y
_atom_site_fract_z
Na1 Na 0.000 0.000 0.000
Co1 Co 0.000 0.000 0.347
S1 S 0.000 0.500 0.250
```

Output
theoretical density: 4.60 g cm⁻³


y is preferred energetically. Next in line: 0.084 eV/atom higher.


w | DFT (PBE) results for crystalline NaCoS3 at its relaxed geometry.

```
data_NaCoS3
_space_group_name_H-M_alt 'P m m n'
_space_group_IT_number 59
_cell_length_a 3.224
_cell_length_b 8.344
_cell_length_c 7.214
_cell_angle_alpha 90.00
_cell_angle_beta 90.00
_cell_angle_gamma 90.00
loop_
_space_group_symop_operation_xyz
'x,y,z'
'-x,-y,-z'
'-x+1/2,-y+1/2,z'
'x+1/2,y+1/2,-z'
'x+1/2,-y,-z'
'-x+1/2,y,z'
'-x,y+1/2,-z'
'x,-y+1/2,z'
loop_
_atom_site_label
_atom_site_type_symbol
_atom_site_fract_x
_atom_site_fract_y
_atom_site_fract_z
Na1 Na 0.250 0.250 0.036
Co1 Co 0.250 0.250 0.516
S1 S 0.250 0.619 0.658
S2 S 0.250 0.750 0.272
```

Output
theoretical density: 3.05 g cm⁻³


x | DFT (PBE) results for crystalline NaCoS3 at its relaxed geometry.

```
data_NaCoS3
_space_group_name_H-M_alt 'P m -3 m'
_space_group_IT_number 221
_space_group_name_Hall '-P 4 2 3'
_cell_length_a 4.533
_cell_length_b 4.533
_cell_length_c 4.533
_cell_angle_alpha 90.00
_cell_angle_beta 90.00
_cell_angle_gamma 90.00
loop_
_atom_site_label
_atom_site_type_symbol
_atom_site_fract_x
_atom_site_fract_y
_atom_site_fract_z
Na1 Na 0.000 0.000 0.000
Co1 Co 0.500 0.500 0.500
S1 S 0.000 0.500 0.500
```

Output
theoretical density: 3.18 g cm⁻³


w is preferred energetically. Next in line: 0.216 eV/atom higher.


w | DFT (PBE) results for crystalline NaCoSb2 at its relaxed geometry.

```
data_NaCoSb2
_space_group_name_H-M_alt 'R -3 m'
_space_group_IT_number 166
_space_group_name_Hall '-R 3 2"'
_cell_length_a 3.9343
_cell_length_b 3.9343
_cell_length_c 21.3952
_cell_angle_alpha 90.00
_cell_angle_beta 90.00
_cell_angle_gamma 120.00
loop_
_atom_site_label
_atom_site_type_symbol
_atom_site_fract_x
_atom_site_fract_y
_atom_site_fract_z
Na1 Na 0.0000 0.0000 0.0000
Co1 Co 0.0000 0.0000 0.5000
Sb1 Sb 0.0000 0.0000 0.2218
```

Output
theoretical density: 5.65 g cm⁻³


x | DFT (PBE) results for crystalline NaCoSb2 at its relaxed geometry.

```
data_NaCoSb2
_space_group_name_H-M_alt 'F m -3 m'
_space_group_IT_number 225
_space_group_name_Hall '-F 4 2 3'
_cell_length_a 6.818
_cell_length_b 6.818
_cell_length_c 6.818
_cell_angle_alpha 90.00
_cell_angle_beta 90.00
_cell_angle_gamma 90.00
loop_
_atom_site_label
_atom_site_type_symbol
_atom_site_fract_x
_atom_site_fract_y
_atom_site_fract_z
Na1 Na 0.000 0.000 0.000
Co1 Co 0.000 0.000 0.500
Sb1 Sb 0.250 0.250 0.250
```

Output
theoretical density: 6.82 g cm⁻³


w is preferred energetically. Next in line: 0.319 eV/atom higher.


w | DFT (PBE) results for crystalline NaCoSb3 at its relaxed geometry.

```
data_NaCoSb3
_space_group_name_H-M_alt 'P m -3 m'
_space_group_IT_number 221
_space_group_name_Hall '-P 4 2 3'
_cell_length_a 5.069
_cell_length_b 5.069
_cell_length_c 5.069
_cell_angle_alpha 90.00
_cell_angle_beta 90.00
_cell_angle_gamma 90.00
loop_
_atom_site_label
_atom_site_type_symbol
_atom_site_fract_x
_atom_site_fract_y
_atom_site_fract_z
Na1 Na 0.000 0.000 0.000
Co1 Co 0.500 0.500 0.500
Sb1 Sb 0.000 0.500 0.500
```

Output
theoretical density: 5.70 g cm⁻³


x | DFT (PBE) results for crystalline NaCoSb3 at its relaxed geometry.

```
data_NaCoSb3
_space_group_name_H-M_alt 'P m -3 m'
_space_group_IT_number 221
_space_group_name_Hall '-P 4 2 3'
_cell_length_a 5.304
_cell_length_b 5.304
_cell_length_c 5.304
_cell_angle_alpha 90.00
_cell_angle_beta 90.00
_cell_angle_gamma 90.00
loop_
_atom_site_label
_atom_site_type_symbol
_atom_site_fract_x
_atom_site_fract_y
_atom_site_fract_z
Na1 Na 0.000 0.000 0.000
Co1 Co 0.500 0.500 0.500
Sb1 Sb 0.000 0.000 0.500
```

Output
theoretical density: 4.98 g cm⁻³


w is preferred energetically. Next in line: 1.194 eV/atom higher.